1.
Here is AcZnCd2 after structural relaxation from Alexandria via LeMat-Bulk. Energies are from GGA-PBE.

```
AcZnCd2
1.0
-1.665 2.284 2.422
-1.029 -2.928 2.054
6.472 0.509 3.968
Cd Zn Ac
2 1 1
Direct
0.000 0.000 0.197
0.000 0.000 0.803
0.500 0.500 0.000
0.500 0.500 0.500
```

Values from the calculation:
V (Å³ per cell): 105
SG: P4/mmm (123)
Density of states at the Fermi level (states/eV/cell): 3.724
Energy relative to the elements (eV/atom): -0.092
Magnetic moment (μB/cell): 0.00


2.
Here is Th2GaP after structural relaxation from Alexandria via LeMat-Bulk. Energies are from GGA-PBE.

```
Th2GaP
1.0
3.947 0.000 0.000
1.973 3.418 0.000
1.973 1.139 8.016
Ga Th P
1 2 1
Direct
0.500 0.500 0.501
0.072 0.072 0.785
0.261 0.261 0.216
0.667 0.667 0.998
```

Values from the calculation:
V (Å³ per cell): 108
SG: R3m (160)
Density of states at the Fermi level (states/eV/cell): 2.091
Distance to the lowest polymorph of the same formula (kJ per mole of atoms): 0.00
Energy relative to the elements (eV/atom): -0.806
Magnetic moment (μB/cell): 0.00


3.
Here is GeSb2Br4 after structural relaxation from Alexandria via LeMat-Bulk. Energies are from GGA-PBE.

```
GeSb2Br4
1.0
5.984 0.000 0.000
0.000 5.984 0.000
2.992 2.992 7.551
Br Ge Sb
4 1 2
Direct
0.825 0.825 0.349
0.000 0.500 0.000
0.175 0.175 0.651
0.500 0.000 0.000
0.000 0.000 0.000
0.588 0.588 0.824
0.412 0.412 0.176
```

Values from the calculation:
V (Å³ per cell): 270
SG: I4/mmm (139)
Density of states at the Fermi level (states/eV/cell): 0.888
Magnetic moment (μB/cell): 0.00


4.
Here is AlZnW2 after structural relaxation from Alexandria via LeMat-Bulk. Energies are from GGA-PBE.

```
AlZnW2
1.0
2.759 0.004 0.000
-0.916 2.603 0.000
0.000 0.000 8.741
Al W Zn
1 2 1
Direct
0.500 0.500 0.751
0.500 0.500 0.250
0.000 0.000 0.997
0.000 0.000 0.502
```

Values from the calculation:
V (Å³ per cell): 63
SG: Cmm2 (35)
Density of states at the Fermi level (states/eV/cell): 1.680
Distance to the lowest polymorph of the same formula (kJ per mole of atoms): 6.45
Energy relative to the elements (eV/atom): 0.130
Magnetic moment (μB/cell): 0.00


5.
Here is KRe3 after structural relaxation from Alexandria via LeMat-Bulk. Energies are from GGA-PBE.

```
KRe3
1.0
-0.283 -2.609 -4.195
4.264 -2.250 1.112
-1.404 -1.999 1.338
Re K
3 1
Direct
0.000 0.500 0.500
0.500 0.500 0.000
0.500 0.000 0.500
0.000 0.000 0.000
```

Values from the calculation:
V (Å³ per cell): 68
SG: P4/mmm (123)
Density of states at the Fermi level (states/eV/cell): 3.988
Distance to the lowest polymorph of the same formula (kJ per mole of atoms): 97.46
Energy relative to the elements (eV/atom): 1.738
Magnetic moment (μB/cell): 0.00


6.
Here is Li2InTeS after structural relaxation from Alexandria via LeMat-Bulk. Energies are from GGA-PBE.

```
Li2InTeS
1.0
4.650 0.000 0.000
0.000 4.650 0.000
0.000 0.000 5.433
Te Li S In
1 2 1 1
Direct
0.500 0.500 0.500
0.500 0.000 0.000
0.000 0.500 0.000
0.000 0.000 0.000
0.000 0.000 0.500
```

Values from the calculation:
V (Å³ per cell): 117
SG: P4/mmm (123)
Density of states at the Fermi level (states/eV/cell): 2.045
Magnetic moment (μB/cell): 0.00


7.
Here is NbSiS2Cl after structural relaxation from Alexandria via LeMat-Bulk. Energies are from GGA-PBE.

```
NbSiS2Cl
1.0
4.842 0.000 0.000
0.000 4.842 0.000
0.000 0.000 4.800
S Nb Cl Si
2 1 1 1
Direct
0.000 0.500 0.000
0.500 0.000 0.000
0.000 0.000 0.000
0.000 0.000 0.500
0.500 0.500 0.500
```

Values from the calculation:
V (Å³ per cell): 113
SG: P4/mmm (123)
Density of states at the Fermi level (states/eV/cell): 4.194
Distance to the lowest polymorph of the same formula (kJ per mole of atoms): 0.00
Magnetic moment (μB/cell): 0.60


8.
Here is LiTiInNi after structural relaxation from Alexandria via LeMat-Bulk. Energies are from GGA-PBE.

```
LiTiInNi
1.0
4.365 0.000 0.000
2.182 3.780 0.000
2.182 1.260 3.564
Ni Li Ti In
1 1 1 1
Direct
0.500 0.500 0.500
0.000 0.000 0.000
0.250 0.250 0.250
0.750 0.750 0.750
```

Values from the calculation:
V (Å³ per cell): 59
SG: F-43m (216)
Energy relative to the elements (eV/atom): -0.313
Magnetic moment (μB/cell): 0.00


Number 1: raw total energy -0.070 hartree per atom. Number 2: raw total energy -0.243 hartree per atom. Number 3: raw total energy -0.103 hartree per atom. Number 4: raw total energy -0.279 hartree per atom. Number 5: raw total energy -0.289 hartree per atom. Number 6: raw total energy -0.129 hartree per atom. Number 7: raw total energy -0.187 hartree per atom. Number 8: raw total energy -0.180 hartree per atom.